Entry 1:
A plane-wave DFT calculation with GGA-PBE was carried out for LiMg2Sn after structural relaxation.

Results
Energy of formation = -0.2236 eV per atom
Space-group type = No. 123

Structure (extended XYZ):
```
4
Lattice="-2.125 -1.368 3.515 2.084 -3.898 -0.258 3.246 1.565 2.572" Properties=species:S:1:pos:R:3 pbc="T T T"
Mg 1.042 -1.949 -0.129
Sn -1.063 -0.684 1.757
Mg 1.623 0.783 1.286
Li 1.602 -1.851 2.915
```


Entry 2:
A plane-wave DFT calculation with GGA-PBE was carried out for CrOs2Se after structural relaxation.

Results
Formation energy without anion corrections = 0.913 eV per atom
Space-group type = No. 122

Structure (extended XYZ):
```
8
Lattice="-4.352 2.090 -2.460 -3.177 -2.044 3.885 -3.194 4.587 3.580" Properties=species:S:1:pos:R:3 pbc="T T T"
Se -5.655 3.350 0.917
Os -5.277 3.420 3.291
Se 0.000 0.000 0.000
Cr -3.764 0.023 0.712
Os -8.925 3.518 3.861
Os -3.836 2.159 -0.112
Cr -5.067 1.283 4.089
Os -3.408 0.169 2.970
```


Entry 3:
A plane-wave DFT calculation with GGA-PBE was carried out for NaCaY2Ru after structural relaxation.

Results
Energy of formation = -0.0023 eV per atom
Space-group type = No. 123

Structure (extended XYZ):
```
5
Lattice="-3.246 -2.945 3.100 4.256 -2.596 1.991 0.438 3.938 4.199" Properties=species:S:1:pos:R:3 pbc="T T T"
Ca 0.219 1.969 2.099
Na 0.724 -0.802 4.645
Y -1.623 -1.472 1.550
Y 2.128 -1.298 0.995
Ru 0.000 0.000 0.000
```


Entry 4:
A plane-wave DFT calculation with GGA-PBE was carried out for Zr2CoAu after structural relaxation.

Results
Energy of formation = 0.0440 eV per atom
Space-group type = No. 160

Structure (extended XYZ):
```
4
Lattice="-4.162 1.874 -7.550 -5.056 -1.178 -7.133 -6.661 1.178 -5.664" Properties=species:S:1:pos:R:3 pbc="T T T"
Zr -3.904 0.461 -5.003
Zr -0.229 0.027 -0.293
Co -11.882 1.403 -15.225
Au -7.804 0.921 -10.000
```


Number 1: magnetic moment 0.00 Bohr magnetons per cell. Number 2: magnetic moment 0.00 Bohr magnetons per cell. Number 3: magnetic moment 0.00 Bohr magnetons per cell. Number 4: magnetic moment 0.27 Bohr magnetons per cell.